Run one
## AlZn5 (GGA-PBE)

Data for a geometry-optimized AlZn5 structure.

* space group: Amm2

Cell: 7.8010 7.8010 4.6947 Å, 90.00 90.00 160.70°
Closest atoms and distances in Å follow each position.
Sites, in units of the cell vectors:
1 Zn 0.6571 0.3429 0.0000  8 Zn 2.61-2.83, 2 Al 2.86
2 Zn 0.1242 0.8758 0.5000  8 Zn 2.61-2.83
3 Zn 0.7876 0.2124 0.5000  10 Zn 2.61-2.86
4 Zn 0.3199 0.6801 0.0000  8 Zn 2.61-2.83
5 Zn 0.4530 0.5470 0.5000  4 Zn 2.61-2.86, 4 Al 2.75
6 Al 0.9915 0.0085 0.0000  2 Al 2.61, 6 Zn 2.75-2.86

Run two
## AlZn5 (GGA-PBE)

Data for a geometry-optimized AlZn5 structure.

* space group: Cmmm

Cell: 6.2606 6.2606 3.9313 Å, 90.00 90.00 143.04°
Closest atoms and distances in Å follow each position.
Sites, in units of the cell vectors:
1 Zn 0.4721 0.5279 0.5000  4 Al 2.79, 8 Zn 2.80-2.81
2 Zn 0.6401 0.3599 0.0000  10 Zn 2.77-2.80, 2 Al 2.81
3 Zn 0.3045 0.6955 0.0000  10 Zn 2.77-2.80, 2 Al 2.81
4 Zn 0.1402 0.8598 0.5000  10 Zn 2.77-2.81, 2 Al 2.80
5 Zn 0.8043 0.1957 0.5000  10 Zn 2.77-2.81, 2 Al 2.80
6 Al 0.9722 0.0278 0.0000  12 Zn 2.79-2.81

Last place for stability: run one

Run one
## Al6Zn (GGA-PBE)

Data for a geometry-optimized Al6Zn structure.

* space group: P4/nbm

Cell: 5.4924 5.4924 8.5361 Å, 90.00 90.00 90.00°
Closest atoms and distances in Å follow each position.
Sites, in units of the cell vectors:
1 Al 0.5000 0.5000 0.1484  5 Al 2.53-2.72
2 Al 0.8250 0.6750 0.3604  8 Al 2.65-2.87
3 Al 0.0000 0.0000 0.8516  5 Al 2.53-2.72
4 Al 0.8250 0.3250 0.6396  8 Al 2.65-2.87
5 Al 0.5000 0.5000 0.8516  5 Al 2.53-2.72
6 Al 0.6750 0.8250 0.6396  8 Al 2.65-2.87
7 Al 0.3250 0.8250 0.3604  8 Al 2.65-2.87
8 Al 0.0000 0.0000 0.1484  5 Al 2.53-2.72
9 Al 0.6750 0.1750 0.3604  8 Al 2.65-2.87
10 Al 0.1750 0.3250 0.3604  8 Al 2.65-2.87
11 Al 0.1750 0.6750 0.6396  8 Al 2.65-2.87
12 Al 0.3250 0.1750 0.6396  8 Al 2.65-2.87
13 Zn 0.5000 0.0000 0.0000  12 Al 3.02-3.36
14 Zn 0.0000 0.5000 0.0000  12 Al 3.02-3.36

Run two
## Al6Zn (GGA-PBE)

Data for a geometry-optimized Al6Zn structure.

* space group: Im-3m

Cell: 6.3918 6.3918 6.3918 Å, 109.47 109.47 109.47°
Closest atoms and distances in Å follow each position.
Sites, in units of the cell vectors:
1 Al 0.7500 0.2500 0.5000  4 Al 2.61
2 Al 0.5000 0.7500 0.2500  4 Al 2.61
3 Al 0.2500 0.7500 0.5000  4 Al 2.61
4 Al 0.7500 0.5000 0.2500  4 Al 2.61
5 Al 0.5000 0.2500 0.7500  4 Al 2.61
6 Al 0.2500 0.5000 0.7500  4 Al 2.61
7 Zn 0.0000 0.0000 0.0000  24 Al 4.13

Last place for stability: run two

Run one
## Al5Zn (GGA-PBE)

Data for a geometry-optimized Al5Zn structure.

* space group: Cmcm

Cell: 2.8148 5.8660 12.7143 Å, 90.00 90.00 103.88°
Closest atoms and distances in Å follow each position.
Sites, in units of the cell vectors:
1 Al 0.4451 0.8903 0.5974  2 Zn 2.71, 7 Al 2.77-2.94
2 Al 0.4451 0.8903 0.9026  2 Zn 2.71, 7 Al 2.77-2.94
3 Al 0.5549 0.1097 0.0974  2 Zn 2.71, 7 Al 2.77-2.94
4 Al 0.5549 0.1097 0.4026  2 Zn 2.71, 7 Al 2.77-2.94
5 Al 0.6972 0.3943 0.9195  1 Zn 2.67, 8 Al 2.76-2.88
6 Al 0.3028 0.6057 0.0805  1 Zn 2.67, 8 Al 2.76-2.88
7 Al 0.3028 0.6057 0.4195  1 Zn 2.67, 8 Al 2.76-2.88
8 Al 0.0950 0.1900 0.7500  10 Al 2.81-2.94, 3 Zn 2.96-3.07
9 Al 0.6972 0.3943 0.5805  1 Zn 2.67, 8 Al 2.76-2.88
10 Al 0.9050 0.8100 0.2500  10 Al 2.81-2.94, 3 Zn 2.96-3.07
11 Zn 0.1651 0.3302 0.2500  7 Al 2.67-2.96, 2 Zn 2.81
12 Zn 0.8349 0.6698 0.7500  7 Al 2.67-2.96, 2 Zn 2.81

Run two
## Al5Zn (GGA-PBE)

Data for a geometry-optimized Al5Zn structure.

* space group: Amm2

Cell: 7.8601 7.8601 4.4638 Å, 90.00 90.00 158.77°
Closest atoms and distances in Å follow each position.
Sites, in units of the cell vectors:
1 Al 0.3331 0.6669 0.0000  12 Al 2.81-3.00
2 Al 0.7746 0.2254 0.5000  10 Al 2.81-3.02, 2 Zn 2.90
3 Al 0.6641 0.3359 0.0000  4 Zn 2.78, 8 Al 2.81-2.99
4 Al 0.0033 0.9967 0.0000  2 Zn 2.79, 10 Al 2.80-3.00
5 Al 0.4460 0.5540 0.5000  10 Al 2.80-3.02, 2 Zn 2.95
6 Zn 0.1122 0.8878 0.5000  10 Al 2.78-2.95, 2 Zn 2.90

Last place for stability: run one

Run one
## Al4Zn3 (GGA-PBE)

Data for a geometry-optimized Al4Zn3 structure.

* space group: P6/mmm

Cell: 4.9725 4.9725 5.4119 Å, 90.00 90.00 120.00°
Closest atoms and distances in Å follow each position.
Sites, in units of the cell vectors:
1 Al 0.0000 0.0000 0.7381  2 Al 2.58-2.83, 6 Zn 2.86
2 Al 0.6667 0.3333 0.5000  9 Al 2.87-3.15, 6 Zn 3.06
3 Al 0.0000 0.0000 0.2619  2 Al 2.58-2.83, 6 Zn 2.86
4 Al 0.3333 0.6667 0.5000  9 Al 2.87-3.15, 6 Zn 3.06
5 Zn 0.0000 0.5000 0.0000  4 Zn 2.49
6 Zn 0.5000 0.0000 0.0000  4 Zn 2.49
7 Zn 0.5000 0.5000 0.0000  4 Zn 2.49

Run two
## Al4Zn3 (GGA-PBE)

Data for a geometry-optimized Al4Zn3 structure.

* space group: R-3m

Cell: 4.4023 4.4023 7.5890 Å, 73.14 73.14 60.00°
Closest atoms and distances in Å follow each position.
Sites, in units of the cell vectors:
1 Zn 0.7507 0.7507 0.7478  8 Al 2.58-2.86
2 Zn 0.0000 0.0000 0.0000  8 Al 2.75-2.77
3 Zn 0.2493 0.2493 0.2522  8 Al 2.58-2.86
4 Al 0.3827 0.3827 0.8518  7 Zn 2.65-2.86
5 Al 0.6173 0.6173 0.1482  7 Zn 2.65-2.86
6 Al 0.1289 0.1289 0.6133  5 Zn 2.58-2.77
7 Al 0.8711 0.8711 0.3867  5 Zn 2.58-2.77

Run three
## Al4Zn3 (GGA-PBE)

Data for a geometry-optimized Al4Zn3 structure.

* space group: C2/m

Cell: 3.0007 6.5863 7.2134 Å, 123.14 102.00 90.00°
Closest atoms and distances in Å follow each position.
Sites, in units of the cell vectors:
1 Al 0.3685 0.1304 0.7369  5 Zn 2.78-2.87, 6 Al 2.82-3.00
2 Al 0.9178 0.5411 0.8357  4 Zn 2.56-2.75, 3 Al 2.66-2.82
3 Al 0.0822 0.4589 0.1643  4 Zn 2.56-2.75, 3 Al 2.66-2.82
4 Al 0.6315 0.8696 0.2631  5 Zn 2.78-2.87, 6 Al 2.82-3.00
5 Zn 0.0000 0.0000 0.0000  6 Al 2.56-2.87, 2 Zn 2.63
6 Zn 0.7762 0.7041 0.5524  3 Zn 2.63-2.79, 6 Al 2.72-2.80
7 Zn 0.2238 0.2959 0.4476  3 Zn 2.63-2.79, 6 Al 2.72-2.80

Last place for stability: run two

Run one
## AlZn6 (GGA-PBE)

Data for a geometry-optimized AlZn6 structure.

* space group: Im-3m

Cell: 6.0238 6.0238 6.0238 Å, 109.47 109.47 109.47°
Closest atoms and distances in Å follow each position.
Sites, in units of the cell vectors:
1 Zn 0.5000 0.7500 0.2500  4 Zn 2.46
2 Zn 0.7500 0.2500 0.5000  4 Zn 2.46
3 Zn 0.2500 0.5000 0.7500  4 Zn 2.46
4 Zn 0.7500 0.5000 0.2500  4 Zn 2.46
5 Zn 0.2500 0.7500 0.5000  4 Zn 2.46
6 Zn 0.5000 0.2500 0.7500  4 Zn 2.46
7 Al 0.0000 0.0000 0.0000  24 Zn 3.89

Run two
## AlZn6 (GGA-PBE)

Data for a geometry-optimized AlZn6 structure.

* space group: P4/nbm

Cell: 5.2847 5.2847 8.2196 Å, 90.00 90.00 90.00°
Closest atoms and distances in Å follow each position.
Sites, in units of the cell vectors:
1 Zn 0.0000 0.0000 0.1465  5 Zn 2.41-2.62
2 Zn 0.0000 0.0000 0.8535  5 Zn 2.41-2.62
3 Zn 0.8275 0.6725 0.3586  8 Zn 2.58-2.77
4 Zn 0.3275 0.1725 0.6414  8 Zn 2.58-2.77
5 Zn 0.6725 0.1725 0.3586  8 Zn 2.58-2.77
6 Zn 0.1725 0.3275 0.3586  8 Zn 2.58-2.77
7 Zn 0.3275 0.8275 0.3586  8 Zn 2.58-2.77
8 Zn 0.5000 0.5000 0.8535  5 Zn 2.41-2.62
9 Zn 0.6725 0.8275 0.6414  8 Zn 2.58-2.77
10 Zn 0.1725 0.6725 0.6414  8 Zn 2.58-2.77
11 Zn 0.5000 0.5000 0.1465  5 Zn 2.41-2.62
12 Zn 0.8275 0.3275 0.6414  8 Zn 2.58-2.77
13 Al 0.0000 0.5000 0.0000  12 Zn 2.90-3.22
14 Al 0.5000 0.0000 0.0000  12 Zn 2.90-3.22

Last place for stability: run one

Run one
## Zr3AlZn (GGA-PBE)

Data for a geometry-optimized Zr3AlZn structure.

* space group: Cmcm

Cell: 4.7463 4.7490 9.2738 Å, 90.00 75.17 90.00°
Closest atoms and distances in Å follow each position.
Sites, in units of the cell vectors:
1 Al 0.1698 0.2500 0.3087  8 Zr 2.93-2.96
2 Al 0.4785 0.7500 0.6913  8 Zr 2.93-2.96
3 Zr 0.8804 0.7500 0.8875  2 Zn 2.93, 2 Al 2.95, 4 Zr 3.11-3.12
4 Zr 0.7679 0.2500 0.1125  2 Zn 2.93, 2 Al 2.95, 4 Zr 3.11-3.12
5 Zr 0.3800 0.2500 0.8884  2 Zn 2.94, 2 Al 2.96, 4 Zr 3.11
6 Zr 0.2684 0.7500 0.1116  2 Zn 2.94, 2 Al 2.96, 4 Zr 3.11
7 Zr 0.5740 0.2500 0.5003  4 Al 2.93, 4 Zn 2.95
8 Zr 0.0743 0.7500 0.4997  4 Al 2.93, 4 Zn 2.95
9 Zn 0.9765 0.2500 0.6953  8 Zr 2.93-2.95
10 Zn 0.6718 0.7500 0.3047  8 Zr 2.93-2.95

Run two
## Zr3AlZn (GGA-PBE)

Data for a geometry-optimized Zr3AlZn structure.

* space group: Pm-3m

Cell: 4.9482 4.9482 4.9482 Å, 90.00 90.00 90.00°
Closest atoms and distances in Å follow each position.
Sites, in units of the cell vectors:
1 Zn 0.0000 0.0000 0.0000  6 Zr 2.47
2 Zr 0.0000 0.0000 0.5000  2 Zn 2.47
3 Zr 0.5000 0.0000 0.0000  2 Zn 2.47
4 Zr 0.0000 0.5000 0.0000  2 Zn 2.47
5 Al 0.5000 0.5000 0.5000  12 Zr 3.50

Last place for stability: run two

Run one
## ZrAl3Zn (GGA-PBE)

Data for a geometry-optimized ZrAl3Zn structure.

* space group: Pm-3m

Cell: 4.6436 4.6436 4.6436 Å, 90.00 90.00 90.00°
Closest atoms and distances in Å follow each position.
Sites, in units of the cell vectors:
1 Al 0.0000 0.5000 0.0000  2 Zn 2.32
2 Al 0.5000 0.0000 0.0000  2 Zn 2.32
3 Al 0.0000 0.0000 0.5000  2 Zn 2.32
4 Zn 0.0000 0.0000 0.0000  6 Al 2.32
5 Zr 0.5000 0.5000 0.5000  12 Al 3.28

Run two
## ZrAl3Zn (GGA-PBE)

Data for a geometry-optimized ZrAl3Zn structure.

* space group: Pm-3m

Cell: 5.2888 5.2888 5.2888 Å, 90.00 90.00 90.00°
Closest atoms and distances in Å follow each position.
Sites, in units of the cell vectors:
1 Al 0.0000 0.0000 0.5000  2 Zr 2.64
2 Al 0.0000 0.5000 0.0000  2 Zr 2.64
3 Al 0.5000 0.0000 0.0000  2 Zr 2.64
4 Zn 0.5000 0.5000 0.5000  12 Al 3.74
5 Zr 0.0000 0.0000 0.0000  6 Al 2.64

Last place for stability: run two

Run one
## ZrAl4 (GGA-PBE)

Data for a geometry-optimized ZrAl4 structure.

* space group: I4/m

Cell: 5.1525 5.1525 5.1525 Å, 98.11 98.11 135.88°
Closest atoms and distances in Å follow each position.
Sites, in units of the cell vectors:
1 Zr 0.0000 0.0000 0.0000  12 Al 2.91-2.96
2 Al 0.6076 0.8040 0.4116  9 Al 2.82-3.08, 3 Zr 2.91-2.96
3 Al 0.1960 0.6076 0.8035  9 Al 2.82-3.08, 3 Zr 2.91-2.96
4 Al 0.8040 0.3924 0.1965  9 Al 2.82-3.08, 3 Zr 2.91-2.96
5 Al 0.3924 0.1960 0.5884  9 Al 2.82-3.08, 3 Zr 2.91-2.96

Run two
## ZrAl4 (GGA-PBE)

Data for a geometry-optimized ZrAl4 structure.

* space group: I4/mmm

Cell: 6.5137 6.5137 6.5137 Å, 144.60 144.60 50.93°
Closest atoms and distances in Å follow each position.
Sites, in units of the cell vectors:
1 Al 0.3977 0.3977 0.0000  5 Al 2.41-2.63
2 Al 0.2500 0.7500 0.5000  8 Al 2.63-2.80
3 Al 0.7500 0.2500 0.5000  8 Al 2.63-2.80
4 Al 0.6023 0.6023 0.0000  5 Al 2.41-2.63
5 Zr 0.0000 0.0000 0.0000  8 Al 3.05

Last place for stability: run two